HoPaCrS6 | PBE | relaxed

Computed properties:
**Formation energy (no corrections)**: -1.180 eV/atom
**Density**: 5.15 g cm⁻³

CIF file:
```
data_HoPaCrS6
_chemical_formula_sum 'Ho1 Pa1 Cr1 S6'
_space_group_name_H-M_alt 'P 1'
_space_group_IT_number 1
_cell_length_a 5.8047
_cell_length_b 6.4085
_cell_length_c 6.4085
_cell_angle_alpha 120.00
_cell_angle_beta 90.00
_cell_angle_gamma 90.00
loop_
_space_group_symop_operation_xyz
'x,y,z'
loop_
_atom_site_label
_atom_site_fract_x
_atom_site_fract_y
_atom_site_fract_z
S1 0.7427 0.2959 0.9885
S2 0.2573 0.6926 0.9885
S3 0.7427 0.6926 0.7041
S4 0.7427 0.0115 0.3074
S5 0.2573 0.0115 0.7041
Ho1 0.5000 0.6667 0.3333
Pa1 0.0000 0.3333 0.6667
S6 0.2573 0.2959 0.3074
Cr1 0.5000 0.0000 0.0000
```